The following is a GGA+U calculation of a geometry-optimized Sc3MoO6 structure, from Alexandria via LeMat-Bulk.

Output
final energy	-8.64	eV/atom
mass density	4.4	g/cm3
symmetry	R-3, No. 148

```
Sc3MoO6
1.0
6.290 -0.013 -0.150
-0.153 6.288 -0.150
-0.013 -0.013 6.292
Sc O Mo
6 12 2
direct
0.251 0.557 0.066
0.934 0.749 0.443
0.066 0.251 0.557
0.443 0.934 0.749
0.557 0.066 0.251
0.749 0.443 0.934
0.922 0.681 0.098
0.473 0.606 0.821
0.821 0.473 0.606
0.078 0.319 0.902
0.319 0.902 0.078
0.902 0.078 0.319
0.179 0.527 0.394
0.394 0.179 0.527
0.098 0.922 0.681
0.606 0.821 0.473
0.527 0.394 0.179
0.681 0.098 0.922
0.500 0.500 0.500
0.000 0.000 0.000
```